The following is a DFT calculation (PBE) of crystalline SrZn2Ag at its relaxed geometry.

Calculated values
Crystal system: monoclinic

Cell: 4.5478 4.5478 6.0092 Å, 112.32 112.32 60.02°
Atoms (fractional coordinates):
Sr: 0.0000 0.0000 0.0000
Zn: 0.1990 0.1990 0.5976
Zn: 0.8010 0.8010 0.4024
Ag: 0.5000 0.5000 0.5000

The following is a DFT calculation (PBE) of crystalline K2MnPt at its relaxed geometry.

Calculated values
Crystal system: orthorhombic
Distance to the lowest polymorph of the same formula in meV/atom: 413

Cell: 4.3063 4.3063 5.3436 Å, 90.00 90.00 90.56°
Atoms (fractional coordinates):
K: 0.0000 0.5000 0.0000
K: 0.5000 0.0000 0.0000
Mn: 0.0000 0.0000 0.5000
Pt: 0.5000 0.5000 0.5000

Here are the calculated energy of formation from the pure elements numbers, same order: -0.21, 0.53 (eV/atom).